(1)
TlTcRh2: optimized geometry, PBE.

Results
**Formation energy from the elements**: 42 kJ/mol of atoms
**Excess energy over the best structure of this formula in the dataset**: 0.3402 eV per atom
**Crystal system**: monoclinic

a = 2.850 Å, b = 4.986 Å, c = 5.579 Å
α = 54.92°, β = 90.00°, γ = 90.00°
Site moments in Bohr magnetons follow the coordinates.
Sites, in units of the cell vectors:
Rh (0.500, 0.500, 0.000)  0.15
Rh (0.000, 0.000, 0.000)  0.14
Tc (0.500, 0.500, 0.500)  0.59
Tl (0.000, 0.000, 0.500)  0.00

(2)
CrCo2Se: optimized geometry, PBE.

Results
**Crystal system**: orthorhombic
**VASP energy**: -6.612 eV/atom

a = 2.993 Å, b = 3.040 Å, c = 6.214 Å
α = 75.85°, β = 90.00°, γ = 90.00°
Site moments in Bohr magnetons follow the coordinates.
Sites, in units of the cell vectors:
Co (0.000, 0.784, 0.057)  1.74
Co (0.500, 0.193, 0.238)  1.82
Cr (0.000, 0.564, 0.497)  1.80
Se (0.500, 0.959, 0.707)  -0.07

(3)
Sr2NbRh: optimized geometry, PBE.

Results
**Formation energy from the elements**: 68 kJ/mol of atoms
**Excess energy over the best structure of this formula in the dataset**: 0.2015 eV per atom
**Crystal system**: cubic

a = 5.374 Å, b = 5.374 Å, c = 5.374 Å
α = 60.00°, β = 60.00°, γ = 60.00°
Site moments in Bohr magnetons follow the coordinates.
Sites, in units of the cell vectors:
Rh (0.500, 0.500, 0.500)  -0.01
Sr (0.750, 0.750, 0.750)  0.11
Sr (0.250, 0.250, 0.250)  0.11
Nb (0.000, 0.000, 0.000)  2.74